First-principles (PBE) data for an optimized crystal structure of DyHo5Th5, as listed in Alexandria.

Computed properties:
Electronic total energy: -0.40370 Ry per atom
Crystal system: hexagonal
Space group: No. 187
Magnetization: 0.00 μB/cell
Formation energy from the elements: 0.38 eV per atom

Lattice parameters (Å, degrees): 6.293 6.293 11.131 90.00 90.00 120.00
Positions (direct):
Dy  0.333  0.667  0.000
Th  0.827  0.653  0.500
Th  0.347  0.173  0.500
Th  0.827  0.173  0.500
Th  0.000  0.000  0.269
Th  0.000  0.000  0.731
Ho  0.000  0.000  0.000
Ho  0.333  0.667  0.672
Ho  0.333  0.667  0.328
Ho  0.667  0.333  0.181
Ho  0.667  0.333  0.819